## Os2RuSe (GGA-PBE)

Data for crystalline Os2RuSe at its relaxed geometry.

The structure in POSCAR format:
```
Os2RuSe
1.0
-4.294 -2.963 0.412
0.275 -4.477 2.695
0.472 5.212 0.030
Os Ru Se
2 1 1
Direct
0.979 0.979 0.000
0.245 0.745 0.500
0.525 0.525 0.000
0.751 0.251 0.500
```

Computed properties:
- SG: Imm2
- Uncorrected energy: -32.79 eV per cell
- DOS at the Fermi energy: 3.62 states/eV per cell
- Total moment: 0.0000 μB per atom